Entry 1:
A crystal of CaTc2Mo relaxed with PBEsol. Source: Alexandria via LeMat-Bulk, functional SCAN.

```
data_CaTc2Mo
_space_group_name_H-M_alt 'F -4 3 m'
_space_group_IT_number 216
_space_group_name_Hall 'F -4 2 3'
_cell_length_a 6.3261
_cell_length_b 6.3261
_cell_length_c 6.3261
_cell_angle_alpha 90.00
_cell_angle_beta 90.00
_cell_angle_gamma 90.00
loop_
_atom_site_label
_atom_site_fract_x
_atom_site_fract_y
_atom_site_fract_z
Ca1 0.0000 0.0000 0.0000
Tc1 0.0000 0.0000 0.5000
Tc2 0.2500 0.2500 0.7500
Mo1 0.2500 0.2500 0.2500
```

Summary:
As for the formation energy: 0.612 eV/atom. Its total DFT energy (no corrections) is -448.89 eV per cell. The calculation puts the offset from the most stable computed form at 130 meV/atom. For the spin magnetization, the calculation gives 0.00 μB per atom.

***

Entry 2:
A crystal of SrEuPb2 relaxed with PBEsol. Source: Alexandria via LeMat-Bulk, functional SCAN.

```
data_SrEuPb2
_space_group_name_H-M_alt 'I 4/m m m'
_space_group_IT_number 139
_space_group_name_Hall '-I 4 2'
_cell_length_a 5.6443
_cell_length_b 5.6443
_cell_length_c 7.9354
_cell_angle_alpha 90.00
_cell_angle_beta 90.00
_cell_angle_gamma 90.00
loop_
_atom_site_label
_atom_site_fract_x
_atom_site_fract_y
_atom_site_fract_z
Sr1 0.0000 0.0000 0.0000
Eu1 0.0000 0.0000 0.5000
Pb1 0.0000 0.5000 0.2500
```

Summary:
As for the formation energy: -0.741 eV/atom. Its total DFT energy (no corrections) is -461.02 eV per cell. For the spin magnetization, the calculation gives 1.77 μB per atom.

***

Entry 3:
A crystal of LaYAs2 relaxed with PBEsol. Source: Alexandria via LeMat-Bulk, functional SCAN.

```
data_LaYAs2
_space_group_name_H-M_alt 'P 4/m m m'
_space_group_IT_number 123
_space_group_name_Hall '-P 4 2'
_cell_length_a 4.2034
_cell_length_b 4.2034
_cell_length_c 5.9280
_cell_angle_alpha 90.00
_cell_angle_beta 90.00
_cell_angle_gamma 90.00
loop_
_atom_site_label
_atom_site_fract_x
_atom_site_fract_y
_atom_site_fract_z
La1 0.0000 0.0000 0.0000
Y1 0.5000 0.5000 0.5000
As1 0.0000 0.0000 0.5000
As2 0.5000 0.5000 0.0000
```

Summary:
As for the formation energy: -1.727 eV/atom. Its total DFT energy (no corrections) is -118.24 eV per cell. The calculation puts the offset from the most stable computed form at 35 meV/atom. For the spin magnetization, the calculation gives 0.00 μB per atom.

***

Entry 4:
A crystal of NbZn2ReSe relaxed with PBEsol. Source: Alexandria via LeMat-Bulk, functional SCAN.

```
data_NbZn2ReSe
_space_group_name_H-M_alt 'P 4/m m m'
_space_group_IT_number 123
_space_group_name_Hall '-P 4 2'
_cell_length_a 4.5655
_cell_length_b 4.5655
_cell_length_c 4.4923
_cell_angle_alpha 90.00
_cell_angle_beta 90.00
_cell_angle_gamma 90.00
loop_
_atom_site_label
_atom_site_fract_x
_atom_site_fract_y
_atom_site_fract_z
Nb1 0.0000 0.0000 0.0000
Zn1 0.0000 0.5000 0.5000
Re1 0.5000 0.5000 0.0000
Se1 0.5000 0.5000 0.5000
```

Summary:
Its total DFT energy (no corrections) is -144.52 eV per cell. As for the uncorrected formation energy: 1.363 eV per atom. For the spin magnetization, the calculation gives 0.30 μB per atom.

***

Entry 5:
A crystal of YCuP2 relaxed with PBEsol. Source: Alexandria via LeMat-Bulk, functional SCAN.

```
data_YCuP2
_space_group_name_H-M_alt 'C 1 m 1'
_space_group_IT_number 8
_space_group_name_Hall 'C -2y'
_cell_length_a 10.0255
_cell_length_b 3.8341
_cell_length_c 3.8327
_cell_angle_alpha 90.00
_cell_angle_beta 112.47
_cell_angle_gamma 90.00
loop_
_atom_site_label
_atom_site_fract_x
_atom_site_fract_y
_atom_site_fract_z
Y1 0.0000 0.0000 0.0000
Cu1 0.2501 0.0000 0.7477
P1 0.1206 0.5000 0.6256
P2 0.3800 0.0000 0.3776
```

Summary:
As for the formation energy: -0.915 eV/atom. Its total DFT energy (no corrections) is -135.00 eV per cell. For the spin magnetization, the calculation gives 0.00 μB per atom.

***

Entry 6:
A crystal of CdPtAu2 relaxed with PBEsol. Source: Alexandria via LeMat-Bulk, functional SCAN.

```
data_CdPtAu2
_space_group_name_H-M_alt 'P m m m'
_space_group_IT_number 47
_space_group_name_Hall '-P 2 2'
_cell_length_a 2.8939
_cell_length_b 4.0227
_cell_length_c 5.7869
_cell_angle_alpha 90.00
_cell_angle_beta 90.00
_cell_angle_gamma 90.00
loop_
_atom_site_label
_atom_site_fract_x
_atom_site_fract_y
_atom_site_fract_z
Cd1 0.0000 0.0000 0.0000
Pt1 0.0000 0.0000 0.5000
Au1 0.5000 0.5000 0.2557
```

Summary:
As for the formation energy: -0.109 eV/atom. Its total DFT energy (no corrections) is -239.36 eV per cell. For the spin magnetization, the calculation gives 0.00 μB per atom.

***

Q: The lowest total DFT energy (no corrections) belongs to which entry?
A: SrEuPb2

***

Q: What is the formula in the fourth record?
A: NbZn2ReSe

***

Q: What is the total DFT energy (no corrections) in the third record?
A: -118.24 eV per cell